A plane-wave DFT calculation with PBE was carried out for crystalline Al2TcBr at its relaxed geometry.

abc: 4.560 4.560 4.560
angles: 60.00 60.00 60.00
Atoms (fractional coordinates):
Al: 0.250 0.250 0.250
Al: 0.750 0.750 0.750
Br: 0.000 0.000 0.000
Tc: 0.500 0.500 0.500

Output
E_form (uncorrected): 0.710 eV per atom
Polymorph energy (0 for the lowest one): 3.74 eV per formula unit
Crystal system: cubic
Uncorrected energy: -4.1705 eV/atom
V: 16.8 Å³/atom